[1]
# SCAN In2MoIrSe, single point on PBEsol structure
data_In2MoIrSe
_space_group_name_H-M_alt 'P 4/m m m'
_space_group_IT_number 123
_space_group_name_Hall '-P 4 2'
_cell_length_a 5.217
_cell_length_b 5.217
_cell_length_c 4.556
_cell_angle_alpha 90.00
_cell_angle_beta 90.00
_cell_angle_gamma 90.00
loop_
_atom_site_label
_atom_site_type_symbol
_atom_site_fract_x
_atom_site_fract_y
_atom_site_fract_z
_atom_site_occupancy
In1 In 0.000 0.500 0.000 1
Mo1 Mo 0.000 0.000 0.000 1
Ir1 Ir 0.500 0.500 0.500 1
Se1 Se 0.000 0.000 0.500 1
# density of states at the Fermi level: 4.3 states/eV/f.u.
# energy relative to the elements, uncorrected: 1.20 eV per atom
# crystal system: tetragonal
# calculated volume: 24.80 Å³ per atom

---

[2]
# SCAN InIr2N, single point on PBEsol structure
data_InIr2N
_space_group_name_H-M_alt 'I -4 2 d'
_space_group_IT_number 122
_space_group_name_Hall 'I -4 2bw'
_cell_length_a 6.384
_cell_length_b 6.384
_cell_length_c 5.807
_cell_angle_alpha 90.00
_cell_angle_beta 90.00
_cell_angle_gamma 90.00
loop_
_atom_site_label
_atom_site_type_symbol
_atom_site_fract_x
_atom_site_fract_y
_atom_site_fract_z
_atom_site_occupancy
In1 In 0.000 0.000 0.000 1
Ir1 Ir 0.131 0.250 0.625 1
N1 N 0.000 0.000 0.500 1
# density of states at the Fermi level: 0.5 states/eV/f.u.
# energy relative to the elements, uncorrected: 0.31 eV per atom
# crystal system: tetragonal
# calculated volume: 14.79 Å³ per atom

---

Which value of energy relative to the elements, uncorrected does entry 1 give?
1.20 eV per atom

---

What is the formula in the first record?
In2MoIrSe